(1)
! Ba3Pm2NpN6, optimized geometry, DFT PBE; values from VASP
! total magnetic moment	0.6	μB per formula unit
! space-group type	C2/m (12)
! theoretical density	7.64	g cm⁻³
! calculated total energy	-89.71	eV per formula unit
! DOS(E_F)	4.739	states/eV/cell
&SYSTEM
  ibrav = 0, nat = 12, ntyp = 4
/
ATOMIC_SPECIES
Ba 137.33 Ba.upf
Pm 145.00 Pm.upf
Np 237.00 Np.upf
N 14.01 N.upf
CELL_PARAMETERS angstrom
3.170 -5.467 0.000
3.170 5.467 0.000
-2.084 0.000 6.410
ATOMIC_POSITIONS angstrom
Ba 0.000 0.000 0.000
Ba 3.170 1.848 0.000
Ba 3.170 -1.848 0.000
Pm 2.128 3.653 3.205
Pm 2.128 -3.653 3.205
Np 2.128 0.000 3.205
N 1.200 1.584 2.027
N 0.247 0.000 4.466
N 1.200 -1.584 2.027
N 3.057 1.584 4.383
N 4.010 0.000 1.945
N 3.057 -1.584 4.383

***

(2)
! NbCu3Si, optimized geometry, DFT PBE; values from VASP
! excess energy over the best structure of this formula in the dataset	0	meV/atom
! total magnetic moment	0.0	μB per formula unit
! space-group type	Pm-3m (221)
! theoretical density	6.63	g cm⁻³
! calculated total energy	-24.73	eV per formula unit
! DOS(E_F)	3.690	states/eV/cell
&SYSTEM
  ibrav = 0, nat = 5, ntyp = 3
/
ATOMIC_SPECIES
Nb 92.91 Nb.upf
Cu 63.55 Cu.upf
Si 28.09 Si.upf
CELL_PARAMETERS angstrom
4.274 0.000 0.000
0.000 4.274 0.000
0.000 0.000 4.274
ATOMIC_POSITIONS angstrom
Nb 0.000 0.000 0.000
Cu 0.000 2.137 2.137
Cu 2.137 0.000 2.137
Cu 2.137 2.137 0.000
Si 2.137 2.137 2.137

***

Question: Which formula does entry 2 have?
Answer: NbCu3Si